Pm6Ga6Pb | GGA-PBE | optimized geometry

The formation energy comes out at -5.94 eV per formula unit.

It has space group P6/mmm (No. 191), with a = 6.1373 Å, b = 6.1373 Å, c = 10.3352 Å, α = 90.00°, β = 90.00° and γ = 120.00°. The inequivalent atoms are Pm at (0.0000, 0.0000, 0.1962), Pm at (0.3333, 0.6667, 0.0000), Pm at (0.3333, 0.6667, 0.5000), Ga at (0.0000, 0.5000, 0.2458) and Pb at (0.0000, 0.0000, 0.5000).

---

Pm2GaPb2 | GGA-PBE | optimized geometry

The formation energy comes out at -2.10 eV per formula unit.

It has space group P6_3/mmc (No. 194), with a = 4.8092 Å, b = 4.8092 Å, c = 14.5815 Å, α = 90.00°, β = 90.00° and γ = 120.00°. The inequivalent atoms are Pm at (0.3333, 0.6667, 0.1104), Ga at (0.0000, 0.0000, 0.2500), Pb at (0.0000, 0.0000, 0.0000) and Pb at (0.3333, 0.6667, 0.7500).

---

Pm7Ga2Pb2 | GGA-PBE | optimized geometry

The formation energy comes out at -2.37 eV per formula unit.

It has space group Cmmm (No. 65), with a = 8.293 Å, b = 11.498 Å, c = 7.430 Å, α = 90.00°, β = 90.00° and γ = 90.00°. The inequivalent atoms are Pm at (0.000, 0.000, 0.000), Pm at (0.000, 0.500, 0.238), Pm at (0.250, 0.250, 0.277), Ga at (0.000, 0.282, 0.000) and Pb at (0.183, 0.000, 0.500).

---

PmGaPb | GGA-PBE | optimized geometry

The formation energy comes out at -0.66 eV per formula unit. The energy above the most stable polymorph in this dataset is 0.242 eV/atom.

It has space group I4mm (No. 107), with a = 4.386 Å, b = 4.386 Å, c = 8.879 Å, α = 90.00°, β = 90.00° and γ = 90.00°. The inequivalent atoms are Pm at (0.000, 0.000, 0.000), Ga at (0.000, 0.000, 0.665) and Pb at (0.000, 0.000, 0.348).

---

Pm5GaPb2 | GGA-PBE | optimized geometry

The formation energy comes out at -3.27 eV per formula unit. The energy above the most stable polymorph in this dataset is 0.088 eV/atom.

It has space group I4/mcm (No. 140), with a = 8.348 Å, b = 8.348 Å, c = 14.048 Å, α = 90.00°, β = 90.00° and γ = 90.00°. The inequivalent atoms are Pm at (0.000, 0.000, 0.000), Pm at (0.165, 0.335, 0.154), Ga at (0.000, 0.000, 0.250) and Pb at (0.137, 0.363, 0.500).

---

Pm5Ga2Pb | GGA-PBE | optimized geometry

The formation energy comes out at -3.96 eV per formula unit.

It has space group I4/mcm (No. 140), with a = 8.071 Å, b = 8.071 Å, c = 14.337 Å, α = 90.00°, β = 90.00° and γ = 90.00°. The inequivalent atoms are Pm at (0.000, 0.000, 0.000), Pm at (0.166, 0.334, 0.144), Ga at (0.126, 0.374, 0.500) and Pb at (0.000, 0.000, 0.250).